DFT (PBE) results for a geometry-optimized MnNi2 structure.

mass density	8105	kg/m3
ΔH_f (0 K)	5	meV per atom
magnetic moment	4.5	μB/f.u.
space group	P6_3/mmc (194)
Fermi-level density of states	2.64	states/eV/f.u.
total DFT energy (no corrections)	-6.906	eV per atom

Structure (POSCAR):
```
MnNi2
1.0
2.0349 -3.5246 0.0000
2.0349 3.5246 0.0000
0.0000 0.0000 4.9227
Ni Mn
4 2
direct
0.6667 0.3333 0.2500
0.3333 0.6667 0.7500
0.0000 0.0000 0.5000
0.0000 0.0000 0.0000
0.3333 0.6667 0.2500
0.6667 0.3333 0.7500
```